Record 1
A relaxed CeZnH crystal, computed with GGA-PBE.

Unit cell a=3.677 b=3.675 c=8.170 alpha=90.00 beta=90.00 gamma=90.00
Fractional coordinates of all 6 atoms:
H  0.000  0.000  0.500
H  0.500  0.500  0.500
Zn  0.500  0.500  0.000
Zn  0.000  0.000  0.000
Ce  0.500  0.000  0.668
Ce  0.000  0.500  0.332

Computed properties:
As for the electronic total energy: -3.6966 eV/atom. As for the calculated density: 6.213 g/cm3.

=====

Record 2
A relaxed Ti6Pt3N crystal, computed with GGA-PBE.

Unit cell a=6.325 b=5.483 c=5.483 alpha=61.99 beta=73.98 gamma=73.98
Fractional coordinates of all 10 atoms:
Ti  0.359  0.158  0.639
Ti  0.641  0.361  0.842
Ti  0.641  0.842  0.361
Ti  0.359  0.639  0.158
Ti  0.161  0.681  0.681
Ti  0.839  0.319  0.319
Pt  0.265  0.177  0.177
Pt  0.735  0.823  0.823
Pt  0.000  0.000  0.000
N  0.500  0.500  0.500

Computed properties:
As for the electronic total energy: -8.1670 eV/atom. As for the calculated density: 9.260 g/cm3. The uncorrected formation energy comes out at -785 meV/atom.

=====

Record 3
A relaxed TcSe2Cl crystal, computed with GGA-PBE.

Unit cell a=6.422 b=6.422 c=6.422 alpha=153.09 beta=136.25 gamma=52.11
Fractional coordinates of all 4 atoms:
Cl  0.250  0.750  0.500
Se  0.925  0.925  0.000
Se  0.575  0.575  0.000
Tc  0.750  0.250  0.500

Computed properties:
As for the electronic total energy: -4.6455 eV/atom. As for the calculated density: 5.864 g/cm3. The uncorrected formation energy comes out at 150 meV/atom.

=====

Record 4
A relaxed Fe2CuAs2 crystal, computed with GGA-PBE.

Unit cell a=6.766 b=6.766 c=2.828 alpha=90.00 beta=90.00 gamma=90.00
Fractional coordinates of all 10 atoms:
As  0.158  0.658  0.500
As  0.658  0.842  0.500
As  0.842  0.342  0.500
As  0.342  0.158  0.500
Fe  0.360  0.860  0.000
Fe  0.860  0.640  0.000
Fe  0.640  0.140  0.000
Fe  0.140  0.360  0.000
Cu  0.000  0.000  0.000
Cu  0.500  0.500  0.000

Computed properties:
As for the electronic total energy: -5.9632 eV/atom. As for the formation energy from the elements: 0.101 eV/atom. As for the calculated density: 8.341 g/cm3.

=====

Record 5
A relaxed CaLaHo2As4 crystal, computed with GGA-PBE.

Unit cell a=4.202 b=7.354 c=7.240 alpha=70.78 beta=90.00 gamma=90.00
Fractional coordinates of all 8 atoms:
Ca  0.000  0.500  0.500
La  0.500  0.500  0.000
Ho  0.000  0.000  0.000
Ho  0.500  0.000  0.500
As  0.000  0.765  0.744
As  0.000  0.235  0.256
As  0.500  0.765  0.246
As  0.500  0.235  0.754

Computed properties:
As for the electronic total energy: -5.7060 eV/atom. As for the formation energy from the elements: -1.371 eV/atom. As for the calculated density: 6.355 g/cm3.

=====

Record 6
A relaxed CaZnCuAg3 crystal, computed with GGA-PBE.

Unit cell a=5.668 b=6.828 c=7.293 alpha=117.91 beta=90.00 gamma=90.00
Fractional coordinates of all 12 atoms:
Ca  0.750  0.294  0.587
Ca  0.250  0.706  0.413
Zn  0.250  0.935  0.870
Zn  0.750  0.065  0.130
Cu  0.250  0.355  0.710
Cu  0.750  0.645  0.290
Ag  0.250  0.150  0.301
Ag  0.000  0.298  0.000
Ag  0.500  0.702  0.000
Ag  0.500  0.298  0.000
Ag  0.000  0.702  0.000
Ag  0.750  0.850  0.699

Computed properties:
As for the electronic total energy: -2.6507 eV/atom. As for the formation energy from the elements: 0.004 eV/atom. As for the calculated density: 6.560 g/cm3.

=====

Record 7
A relaxed AcPm12Er7 crystal, computed with GGA-PBE.

Unit cell a=8.801 b=8.801 c=8.801 alpha=88.69 beta=88.69 gamma=88.69
Fractional coordinates of all 20 atoms:
Ac  0.000  0.000  0.000
Pm  0.861  0.279  0.725
Pm  0.721  0.275  0.139
Pm  0.626  0.141  0.496
Pm  0.859  0.504  0.374
Pm  0.275  0.139  0.721
Pm  0.504  0.374  0.859
Pm  0.496  0.626  0.141
Pm  0.725  0.861  0.279
Pm  0.141  0.496  0.626
Pm  0.374  0.859  0.504
Pm  0.279  0.725  0.861
Pm  0.139  0.721  0.275
Er  0.846  0.613  0.940
Er  0.387  0.060  0.154
Er  0.060  0.154  0.387
Er  0.500  0.500  0.500
Er  0.940  0.846  0.613
Er  0.613  0.940  0.846
Er  0.154  0.387  0.060

Computed properties:
As for the electronic total energy: -4.4296 eV/atom. As for the formation energy from the elements: 0.223 eV/atom. As for the calculated density: 7.650 g/cm3.

=====

Record 8
A relaxed CaY2Zn2 crystal, computed with GGA-PBE.

Unit cell a=4.640 b=4.640 c=7.218 alpha=71.25 beta=71.25 gamma=90.00
Fractional coordinates of all 5 atoms:
Y  0.750  0.250  0.500
Y  0.250  0.750  0.500
Zn  0.404  0.404  0.192
Zn  0.596  0.596  0.808
Ca  0.000  0.000  0.000

Computed properties:
As for the electronic total energy: -3.5746 eV/atom. As for the formation energy from the elements: -0.079 eV/atom. As for the calculated density: 4.182 g/cm3.

=====

Record 9
A relaxed TaPtSe2N crystal, computed with GGA-PBE.

Unit cell a=5.121 b=5.121 c=3.826 alpha=90.00 beta=90.00 gamma=90.00
Fractional coordinates of all 5 atoms:
N  0.000  0.000  0.500
Se  0.000  0.500  0.000
Se  0.500  0.000  0.000
Pt  0.500  0.500  0.500
Ta  0.000  0.000  0.000

Computed properties:
As for the electronic total energy: -6.2348 eV/atom. As for the calculated density: 9.071 g/cm3. The uncorrected formation energy comes out at 403 meV/atom.

=====

Record 10
A relaxed TlInNi2 crystal, computed with GGA-PBE.

Unit cell a=5.199 b=5.199 c=4.487 alpha=74.36 beta=74.36 gamma=35.09
Fractional coordinates of all 4 atoms:
In  0.735  0.735  0.810
Ni  0.983  0.983  0.965
Ni  0.269  0.269  0.282
Tl  0.514  0.514  0.443

Computed properties:
As for the electronic total energy: -3.9908 eV/atom. As for the formation energy from the elements: 0.176 eV/atom. As for the calculated density: 10.839 g/cm3.

=====

Record 11
A relaxed SrScGa crystal, computed with GGA-PBE.

Unit cell a=4.149 b=8.338 c=5.524 alpha=80.90 beta=90.00 gamma=89.96
Fractional coordinates of all 6 atoms:
Sc  0.968  0.673  0.847
Sc  0.468  0.404  0.169
Sr  0.468  0.886  0.298
Sr  0.969  0.192  0.718
Ga  0.468  0.497  0.655
Ga  0.968  0.581  0.361

Computed properties:
As for the electronic total energy: -3.8992 eV/atom. As for the formation energy from the elements: -0.219 eV/atom. As for the calculated density: 3.561 g/cm3.

=====

Record 12
A relaxed CsNb3Sb crystal, computed with GGA-PBE.

Unit cell a=5.066 b=5.066 c=5.066 alpha=90.00 beta=90.00 gamma=90.00
Fractional coordinates of all 5 atoms:
Cs  0.000  0.000  0.000
Sb  0.500  0.500  0.500
Nb  0.000  0.500  0.000
Nb  0.000  0.000  0.500
Nb  0.500  0.000  0.000

Computed properties:
As for the electronic total energy: -4.5317 eV/atom. As for the calculated density: 6.813 g/cm3. The uncorrected formation energy comes out at 2505 meV/atom.